Entry 1:
16
Lattice="-2.354 -1.825 4.657 -3.637 -2.909 -2.979 3.434 -4.332 0.038" Properties=species:S:1:pos:R:3 comment="PBE-GGA BeAlFe2, optimized geometry" total_energy_ev_per_cell=-99.7 pbc="T T T"
Fe -3.463 -4.626 1.238
Fe -2.372 -3.780 -0.920
Fe -0.780 -5.788 -0.903
Fe -1.871 -6.634 1.256
Fe -1.777 -3.278 2.619
Fe -0.686 -2.432 0.460
Fe -0.186 -5.286 2.636
Fe 0.905 -4.440 0.478
Al -1.819 -1.454 -1.489
Al 1.717 -2.166 0.019
Al -1.177 -0.913 2.329
Al 0.000 0.000 0.000
Be -2.996 -2.367 0.839
Be 0.540 -3.079 2.347
Be -0.102 -3.621 -1.470
Be -1.279 -4.533 0.858

---

Entry 2:
4
Lattice="-3.783 -0.456 2.055 -0.940 2.524 3.389 -3.041 3.060 -0.358" Properties=species:S:1:pos:R:3 comment="PBE-GGA AlCdCuNi, optimized geometry" relative_energy_ev_per_atom=0.150 pbc="T T T"
Cd -1.941 1.282 1.272
Cu -5.823 3.846 3.815
Ni -3.882 2.564 2.543
Al 0.000 0.000 0.000

---

Entry 3:
3
Lattice="-4.024 -2.042 1.066 -3.825 1.009 -2.418 -1.831 -3.152 -2.865" Properties=species:S:1:pos:R:3 comment="PBE-GGA YPaBe, optimized geometry" relative_energy_ev_per_atom=0.000 pbc="T T T"
Y -7.259 -3.139 -3.163
Be 0.000 0.000 0.000
Pa -2.420 -1.046 -1.054

---

Entry 4:
3
Lattice="0.000 3.446 3.446 3.446 0.000 3.446 3.446 3.446 0.000" Properties=species:S:1:pos:R:3 comment="PBE-GGA AcFePd, optimized geometry" relative_energy_ev_per_atom=0.513 formation_enthalpy_0k_ev_per_atom=0.6552 pbc="T T T"
Fe 1.723 1.723 1.723
Pd 5.170 5.170 5.170
Ac 0.000 0.000 0.000

---

Entry 5:
3
Lattice="0.000 3.715 3.715 3.715 0.000 3.715 3.715 3.715 0.000" Properties=species:S:1:pos:R:3 comment="PBE-GGA AcPuAl, optimized geometry" relative_energy_ev_per_atom=0.000 pbc="T T T"
Pu 5.572 5.572 5.572
Al 0.000 0.000 0.000
Ac 1.857 1.857 1.857

---

Entry 6:
10
Lattice="0.000 7.020 3.949 6.281 0.000 3.949 6.281 7.020 0.000" Properties=species:S:1:pos:R:3 comment="PBE-GGA FeI4, optimized geometry" total_energy_ev_per_cell=-28.9 pbc="T T T"
I 1.482 5.901 3.746
I 1.658 2.391 1.772
I 11.079 8.138 3.746
I 10.740 11.649 5.935
I 4.622 4.628 1.772
I 8.102 9.410 5.935
I 7.600 5.900 3.960
I 4.961 8.139 3.960
Fe 3.140 3.510 0.066
Fe 6.281 7.020 5.990